This record from the Alexandria database describes a relaxed HfSiN crystal. The functional is PBE.

Unit cell a=3.242 b=3.242 c=7.701 alpha=90.00 beta=90.00 gamma=90.00
Fractional coordinates of all 6 atoms:
Si 0.000 0.000 0.000
Si 0.500 0.500 0.000
N 0.000 0.500 0.382
N 0.500 0.000 0.618
Hf 0.000 0.500 0.660
Hf 0.500 0.000 0.340

Its space-group type is P4/nmm.

=====

This record from the Alexandria database describes a relaxed CaEuSi4 crystal. The functional is PBE.

Unit cell a=5.419 b=5.419 c=5.419 alpha=60.00 beta=60.00 gamma=60.00
Fractional coordinates of all 6 atoms:
Eu 0.250 0.250 0.250
Ca 0.000 0.000 0.000
Si 0.626 0.626 0.121
Si 0.626 0.121 0.626
Si 0.626 0.626 0.626
Si 0.121 0.626 0.626

Its space-group type is F-43m. The energy above the most stable polymorph in this dataset is 0.76 eV per formula unit.

=====

no.,E (eV per atom),mass density (g cm⁻³),formation energy without anion corrections (eV/f.u.)
1,-8.812,9.052,-2.73
2,-5.976,4.491,-1.89